Computed, not measured: crystalline Mn3IF at its relaxed geometry at the PBE with a Hubbard U level of DFT.

Unit cell a=5.6865 b=5.6865 c=5.6865 alpha=90.00 beta=90.00 gamma=90.00
Atoms (fractional coordinates):
Mn1 0.0000 0.0000 0.5000
Mn2 0.0000 0.5000 0.0000
Mn3 0.5000 0.0000 0.0000
I1 0.0000 0.0000 0.0000
F1 0.5000 0.5000 0.5000

Output
electronic total energy	-20.69	eV for the cell shown
ΔE to the lowest computed polymorph	904	meV per atom